Record 1
DFT (meta-GGA SCAN) results for Ta2AgAu at its PBEsol-relaxed geometry.

Calculated values
As for the energy: -58.34 eV per atom. The density of states at the Fermi level comes out at 2.522 states/eV/cell. As for the space group: No. 139. Its energy above the lowest structure with this stoichiometry is 64.0 meV/atom.

Unit cell a=4.0021 b=4.0021 c=5.0701 alpha=113.25 beta=113.25 gamma=90.00
Positions (direct):
Au: 0.0000 0.0000 0.0000
Ag: 0.5000 0.5000 0.0000
Ta: 0.2500 0.7500 0.5000
Ta: 0.7500 0.2500 0.5000

Record 2
DFT (meta-GGA SCAN) results for Na3AgO2 at its PBEsol-relaxed geometry.

Calculated values
As for the energy: -10.60 eV per atom. The density of states at the Fermi level comes out at 0.000 states/eV/cell. As for the space group: No. 72. Its raw formation energy is -7.109 eV per formula unit.

Unit cell a=5.4352 b=5.9053 c=6.7457 alpha=64.04 beta=66.24 gamma=90.00
Positions (direct):
Na: 0.2392 0.4892 0.5215
Na: 0.5000 0.2500 0.0000
Na: 0.2392 0.9892 0.5215
Na: 0.7608 0.5108 0.4785
Na: 0.5000 0.7500 0.0000
Na: 0.7608 0.0108 0.4785
Ag: 0.0000 0.0000 0.0000
Ag: 0.0000 0.5000 0.0000
O: 0.4059 0.1344 0.7311
O: 0.1370 0.3656 0.2689
O: 0.5941 0.8656 0.2689
O: 0.8630 0.6344 0.7311

Record 3
DFT (meta-GGA SCAN) results for CrPdPb3 at its PBEsol-relaxed geometry.

Calculated values
As for the energy: -55.28 eV per atom. The density of states at the Fermi level comes out at 3.220 states/eV/cell. As for the space group: No. 221.

Unit cell a=5.2467 b=5.2467 c=5.2467 alpha=90.00 beta=90.00 gamma=90.00
Positions (direct):
Pb: 0.0000 0.5000 0.0000
Pb: 0.0000 0.0000 0.5000
Pb: 0.5000 0.0000 0.0000
Cr: 0.5000 0.5000 0.5000
Pd: 0.0000 0.0000 0.0000

Record 4
DFT (meta-GGA SCAN) results for CrTc3 at its PBEsol-relaxed geometry.

Calculated values
As for the energy: -30.83 eV per atom. The density of states at the Fermi level comes out at 3.136 states/eV/cell. As for the space group: No. 44.

Unit cell a=2.8640 b=4.4005 c=4.9928 alpha=116.15 beta=106.67 gamma=90.00
Positions (direct):
Cr: 0.0000 0.0339 0.0000
Tc: 0.5000 0.5485 0.0000
Tc: 0.2710 0.8965 0.5420
Tc: 0.7290 0.3545 0.4580

Record 5
DFT (meta-GGA SCAN) results for Ti2CoP2O10 at its PBEsol-relaxed geometry.

Calculated values
As for the energy: -11.53 eV per atom. The density of states at the Fermi level comes out at 0.000 states/eV/cell. As for the space group: No. 14. Its raw formation energy is -40.460 eV per formula unit.

Unit cell a=7.3695 b=7.3003 c=7.3040 alpha=90.00 beta=90.00 gamma=118.96
Positions (direct):
Ti: 0.2402 0.7159 0.2730
Ti: 0.2402 0.2159 0.2270
Ti: 0.7598 0.7841 0.7730
Ti: 0.7598 0.2841 0.7270
Co: 0.5000 0.5000 0.5000
Co: 0.5000 0.0000 0.0000
P: 0.2506 0.0033 0.6271
P: 0.7494 0.9967 0.3729
P: 0.2506 0.5033 0.8729
P: 0.7494 0.4967 0.1271
O: 0.2781 0.0036 0.1620
O: 0.2781 0.5036 0.3380
O: 0.7219 0.9964 0.8380
O: 0.7219 0.4964 0.6620
O: 0.0517 0.9195 0.7403
O: 0.9483 0.5805 0.2403
O: 0.0517 0.4195 0.7597
O: 0.9483 0.0805 0.2597
O: 0.7247 0.3149 0.0016
O: 0.2753 0.6851 0.9984
O: 0.7247 0.8149 0.4984
O: 0.2753 0.1851 0.5016
O: 0.4372 0.0912 0.7595
O: 0.4372 0.5912 0.7405
O: 0.5628 0.4088 0.2595
O: 0.5628 0.9088 0.2405
O: 0.2475 0.8267 0.5102
O: 0.2475 0.3267 0.9898
O: 0.7525 0.1733 0.4898
O: 0.7525 0.6733 0.0102

Record 6
DFT (meta-GGA SCAN) results for Rb3AsI6 at its PBEsol-relaxed geometry.

Calculated values
As for the energy: -31.28 eV per atom. The density of states at the Fermi level comes out at 0.000 states/eV/cell. As for the space group: No. 225. Its raw formation energy is -9.932 eV per formula unit.

Unit cell a=8.7400 b=8.7400 c=8.7400 alpha=60.00 beta=60.00 gamma=60.00
Positions (direct):
I: 0.7714 0.2286 0.2286
I: 0.7714 0.7714 0.2286
I: 0.2286 0.7714 0.7714
I: 0.7714 0.2286 0.7714
I: 0.2286 0.7714 0.2286
I: 0.2286 0.2286 0.7714
As: 0.0000 0.0000 0.0000
Rb: 0.7500 0.7500 0.7500
Rb: 0.2500 0.2500 0.2500
Rb: 0.5000 0.5000 0.5000

Record 7
DFT (meta-GGA SCAN) results for KMnBe at its PBEsol-relaxed geometry.

Calculated values
As for the energy: -9.07 eV per atom. The density of states at the Fermi level comes out at 3.694 states/eV/cell. As for the space group: No. 216.

Unit cell a=4.6931 b=4.6931 c=4.6931 alpha=60.00 beta=60.00 gamma=60.00
Positions (direct):
Be: 0.0000 0.0000 0.0000
K: 0.5000 0.5000 0.5000
Mn: 0.7500 0.7500 0.7500

Record 8
DFT (meta-GGA SCAN) results for YScIr2 at its PBEsol-relaxed geometry.

Calculated values
As for the energy: -46.79 eV per atom. The density of states at the Fermi level comes out at 2.558 states/eV/cell. As for the space group: No. 44.

Unit cell a=3.8753 b=3.9342 c=5.4468 alpha=111.17 beta=110.84 gamma=90.00
Positions (direct):
Ir: 0.0004 0.0004 0.0007
Ir: 0.7501 0.2501 0.5002
Sc: 0.4991 0.4991 0.9983
Y: 0.2504 0.7504 0.5008

Record 9
DFT (meta-GGA SCAN) results for Li2Au3 at its PBEsol-relaxed geometry.

Calculated values
As for the energy: -42.98 eV per atom. The density of states at the Fermi level comes out at 1.969 states/eV/cell. As for the space group: No. 43.

Unit cell a=4.9151 b=5.3083 c=7.1127 alpha=99.20 beta=110.21 gamma=62.42
Positions (direct):
Au: 0.7329 0.9232 0.2084
Au: 0.4477 0.0768 0.7916
Au: 0.7745 0.4232 0.2916
Au: 0.9061 0.5768 0.7084
Au: 0.0828 0.0000 0.0000
Au: 0.3328 0.5000 0.5000
Li: 0.1932 0.4521 0.1020
Li: 0.5433 0.5479 0.8980
Li: 0.3412 0.9521 0.3980
Li: 0.8953 0.0479 0.6020

Record 10
DFT (meta-GGA SCAN) results for MgZr2Ir at its PBEsol-relaxed geometry.

Calculated values
As for the energy: -34.86 eV per atom. The density of states at the Fermi level comes out at 2.172 states/eV/cell. As for the space group: No. 99.

Unit cell a=3.2329 b=3.2329 c=7.3541 alpha=90.00 beta=90.00 gamma=90.00
Positions (direct):
Ir: 0.0000 0.0000 0.4932
Mg: 0.5000 0.5000 0.7090
Zr: 0.0000 0.0000 0.0076
Zr: 0.5000 0.5000 0.2901

Record 11
DFT (meta-GGA SCAN) results for ZrCr2InTe at its PBEsol-relaxed geometry.

Calculated values
As for the energy: -26.68 eV per atom. The density of states at the Fermi level comes out at 4.378 states/eV/cell. As for the space group: No. 123. Its raw formation energy is 4.689 eV per formula unit.

Unit cell a=4.7978 b=4.7978 c=5.5342 alpha=90.00 beta=90.00 gamma=90.00
Positions (direct):
Cr: 0.0000 0.5000 0.0000
Cr: 0.5000 0.0000 0.0000
Te: 0.0000 0.0000 0.0000
Zr: 0.5000 0.5000 0.5000
In: 0.0000 0.0000 0.5000

Record 12
DFT (meta-GGA SCAN) results for DySi2Ni10 at its PBEsol-relaxed geometry.

Calculated values
As for the energy: -18.09 eV per atom. The density of states at the Fermi level comes out at 23.544 states/eV/cell. As for the space group: No. 129. Its raw formation energy is -5.597 eV per formula unit.

Unit cell a=4.6122 b=8.0588 c=8.0588 alpha=90.00 beta=90.00 gamma=90.00
Positions (direct):
Dy: 0.2203 0.0000 0.5000
Dy: 0.7797 0.5000 0.0000
Si: 0.5000 0.7500 0.7500
Si: 0.5000 0.2500 0.7500
Si: 0.5000 0.7500 0.2500
Si: 0.5000 0.2500 0.2500
Ni: 0.0000 0.7500 0.2500
Ni: 0.0000 0.7500 0.7500
Ni: 0.0000 0.2500 0.2500
Ni: 0.0000 0.2500 0.7500
Ni: 0.2387 0.3532 0.5000
Ni: 0.2387 0.0000 0.1468
Ni: 0.2387 0.0000 0.8532
Ni: 0.2387 0.6468 0.5000
Ni: 0.7613 0.1468 0.0000
Ni: 0.7613 0.8532 0.0000
Ni: 0.7613 0.5000 0.3532
Ni: 0.7613 0.5000 0.6468
Ni: 0.7301 0.7767 0.5000
Ni: 0.7301 0.0000 0.7233
Ni: 0.7301 0.0000 0.2767
Ni: 0.7301 0.2233 0.5000
Ni: 0.2699 0.7233 0.0000
Ni: 0.2699 0.2767 0.0000
Ni: 0.2699 0.5000 0.7767
Ni: 0.2699 0.5000 0.2233